This record from Alexandria describes a PBEsol-optimized structure of CdPtSe. The functional is meta-GGA SCAN.

a b c (Å): 4.4595 4.4595 4.4595
angles (deg): 60.00 60.00 60.00
Positions (direct):
Pt  0.0000  0.0000  0.0000
Cd  0.2500  0.2500  0.2500
Se  0.5000  0.5000  0.5000

## Properties
Its total energy is -119.75 eV/cell. The space-group type is F-43m, No. 216. The formation energy from raw total energies is 0.937 eV/f.u.

=====

This record from Alexandria describes a PBEsol-optimized structure of MgZrRh2. The functional is meta-GGA SCAN.

a b c (Å): 4.4767 4.4767 4.4767
angles (deg): 60.00 60.00 60.00
Positions (direct):
Rh  0.7500  0.7500  0.7500
Mg  0.5000  0.5000  0.5000
Zr  0.0000  0.0000  0.0000
Rh  0.2500  0.2500  0.2500

## Properties
The calculation puts the energy relative to the elements at -0.944 eV per atom. Its total energy is -106.99 eV/cell. The space-group type is Fm-3m, No. 225.

=====

This record from Alexandria describes a PBEsol-optimized structure of ZnCuAg. The functional is meta-GGA SCAN.

a b c (Å): 2.8194 3.3282 4.9317
angles (deg): 109.72 106.61 90.00
Positions (direct):
Zn  0.3205  0.3205  0.6410
Cu  0.6787  0.6787  0.3575
Ag  0.0008  0.0008  0.0015

## Properties
The calculation puts the energy relative to the elements at 0.003 eV per atom. Its total energy is -60.07 eV/cell. The space-group type is Imm2, No. 44. As for the energy above the lowest structure with this stoichiometry: 0.0 kJ/mol of atoms.

=====

This record from Alexandria describes a PBEsol-optimized structure of Ir3Se. The functional is meta-GGA SCAN.

a b c (Å): 2.8046 4.6930 4.6930
angles (deg): 108.41 90.00 90.00
Positions (direct):
Se  0.0000  0.0000  0.0000
Ir  0.0000  0.5000  0.5000
Ir  0.5000  0.5000  0.0000
Ir  0.5000  0.0000  0.5000

## Properties
Its total energy is -231.44 eV/cell. The space-group type is Cmmm, No. 65. As for the energy above the lowest structure with this stoichiometry: 10.6 kJ/mol of atoms. The formation energy from raw total energies is 1.939 eV/f.u.

=====

This record from Alexandria describes a PBEsol-optimized structure of PtBr3. The functional is meta-GGA SCAN.

a b c (Å): 3.6830 5.2649 6.1158
angles (deg): 115.49 107.52 90.00
Positions (direct):
Br  0.6598  0.1598  0.3196
Br  0.0000  0.5000  0.0000
Br  0.3402  0.8402  0.6804
Pt  0.0000  0.0000  0.0000

## Properties
Its total energy is -129.53 eV/cell. The space-group type is Immm, No. 71. The formation energy from raw total energies is -0.960 eV/f.u.

=====

This record from Alexandria describes a PBEsol-optimized structure of CrBrF2. The functional is meta-GGA SCAN.

a b c (Å): 4.2121 4.2121 4.2121
angles (deg): 60.00 60.00 60.00
Positions (direct):
Br  0.5000  0.5000  0.5000
Cr  0.0000  0.0000  0.0000
F  0.2500  0.2500  0.2500
F  0.7500  0.7500  0.7500

## Properties
Its total energy is -48.47 eV/cell. The space-group type is Fm-3m, No. 225. The formation energy from raw total energies is -3.550 eV/f.u.

=====

In order of appearance, DOS(E_F) = 1.68 0.61 0.86 2.00 1.43 1.81 states/eV/cell.